Record 1
Below is a relaxed structure of LiIr2Os, with properties calculated at the PBE level.

Values from the calculation:
- raw total energy (eV/atom) = -7.108
- total moment (μB per formula unit) = 0.0

Lattice parameters (Å, degrees): 7.3183 7.3183 5.7521 50.50 50.50 90.00
With the nearest neighbours (Å) after each atom.
Sites, in units of the cell vectors:
Ir: 0.6737 0.1250 0.2500  2 Os 2.43, 2 Ir 2.61
Ir: 0.0763 0.6250 0.2500  2 Os 2.43, 2 Ir 2.61
Ir: 0.3750 0.3263 0.7500  2 Os 2.43, 2 Ir 2.61
Ir: 0.8750 0.9237 0.7500  2 Os 2.43, 2 Ir 2.61
Os: 0.0000 0.0000 0.0000  4 Ir 2.43, 2 Li 2.51
Os: 0.7500 0.2500 0.5000  4 Ir 2.43, 2 Li 2.51
Li: 0.5000 0.5000 0.0000  2 Os 2.51
Li: 0.2500 0.7500 0.5000  2 Os 2.51

Record 2
Below is a relaxed structure of Li2IrOs, with properties calculated at the PBE level.

Values from the calculation:
- raw total energy (eV/atom) = -5.732
- total moment (μB per formula unit) = 0.0

Lattice parameters (Å, degrees): 2.6846 2.6846 9.4427 90.00 90.00 118.31
With the nearest neighbours (Å) after each atom.
Sites, in units of the cell vectors:
Ir: 0.5000 0.5000 0.7484  2 Li 2.60, 2 Os 2.67, 6 Ir 2.68-2.75
Li: 0.0000 0.0000 0.9821  2 Ir 2.60, 6 Li 2.68-2.75
Li: 0.5000 0.5000 0.2638  2 Os 2.67, 6 Li 2.68-2.75
Os: 0.0000 0.0000 0.5056  2 Li 2.67, 2 Ir 2.67, 6 Os 2.68-2.75

Record 3
Below is a relaxed structure of Li2IrOs, with properties calculated at the PBE level.

Values from the calculation:
- raw total energy (eV/atom) = -6.047
- total moment (μB per formula unit) = 0.0

Lattice parameters (Å, degrees): 9.1504 9.1504 9.1504 16.65 16.65 16.65
With the nearest neighbours (Å) after each atom.
Sites, in units of the cell vectors:
Ir: 0.7500 0.7500 0.7500  6 Ir 2.65, 6 Li 2.70
Li: 0.0013 0.0013 0.0013  6 Li 2.65, 3 Ir 2.70, 3 Os 2.75
Li: 0.4987 0.4987 0.4987  6 Li 2.65, 3 Ir 2.70, 3 Os 2.75
Os: 0.2500 0.2500 0.2500  6 Os 2.65, 6 Li 2.75

Record 4
Below is a relaxed structure of LiIrOs2, with properties calculated at the PBE level.

Values from the calculation:
- raw total energy (eV/atom) = -8.177
- total moment (μB per formula unit) = 0.0

Lattice parameters (Å, degrees): 4.0446 2.6789 5.1802 75.05 90.00 90.00
With the nearest neighbours (Å) after each atom.
Sites, in units of the cell vectors:
Ir: 0.0000 0.5429 0.5389  4 Li 2.59-2.61, 7 Os 2.67-2.89, 2 Ir 2.68
Li: 0.5000 0.9554 0.7283  3 Os 2.45-2.51, 4 Ir 2.59-2.61, 2 Li 2.68
Os: 0.0000 0.8052 0.0054  2 Li 2.45, 6 Os 2.67-2.68, 3 Ir 2.67-2.70
Os: 0.5000 0.1965 0.2275  1 Li 2.51, 6 Os 2.67-2.68

Record 5
Below is a relaxed structure of Li2IrOs, with properties calculated at the PBE level.

Values from the calculation:
- raw total energy (eV/atom) = -5.240
- total moment (μB per formula unit) = 0.0

Lattice parameters (Å, degrees): 6.7051 6.7051 5.3434 51.14 51.14 90.00
With the nearest neighbours (Å) after each atom.
Sites, in units of the cell vectors:
Ir: 0.0000 0.0000 0.0000  4 Li 2.43, 2 Os 2.46
Ir: 0.7500 0.2500 0.5000  4 Li 2.43, 2 Os 2.46
Os: 0.5000 0.5000 0.0000  2 Ir 2.46, 4 Li 2.47
Os: 0.2500 0.7500 0.5000  2 Ir 2.46, 4 Li 2.47
Li: 0.6296 0.1250 0.2500  2 Ir 2.43, 2 Li 2.46, 2 Os 2.47
Li: 0.1204 0.6250 0.2500  2 Ir 2.43, 2 Li 2.46, 2 Os 2.47
Li: 0.3750 0.3704 0.7500  2 Ir 2.43, 2 Li 2.46, 2 Os 2.47
Li: 0.8750 0.8796 0.7500  2 Ir 2.43, 2 Li 2.46, 2 Os 2.47

Record 6
Below is a relaxed structure of LiIrOs2, with properties calculated at the PBE level.

Values from the calculation:
- raw total energy (eV/atom) = -7.894
- total moment (μB per formula unit) = 0.0

Lattice parameters (Å, degrees): 2.6661 2.6661 9.2956 90.00 90.00 118.46
With the nearest neighbours (Å) after each atom.
Sites, in units of the cell vectors:
Ir: 0.5000 0.5000 0.2500  6 Ir 2.67-2.73, 4 Os 2.70
Li: 0.5000 0.5000 0.7500  6 Li 2.67-2.73, 4 Os 2.69
Os: 0.0000 0.0000 0.9993  6 Os 2.67-2.73, 2 Li 2.69, 2 Ir 2.70
Os: 0.0000 0.0000 0.5007  6 Os 2.67-2.73, 2 Li 2.69, 2 Ir 2.70

Results for DFT formation energy: 14.03, 5.71, -1.57, 3.04, 17.06, 9.57 (in kcal/mol of atoms, following the order of the records).
Results for excess energy over the best structure of this formula in the dataset: 0.632, 0.315, 0.000, 0.018, 0.808, 0.301 (in eV/atom, following the order of the records).